one.
VASP calculation (PBE) on a geometry-optimized TlCr2Te structure.

Structure (POSCAR):
```
TlCr2Te
1.0
0.0000 3.2510 3.2510
3.2510 0.0000 3.2510
3.2510 3.2510 0.0000
Cr Tl Te
2 1 1
direct
0.2500 0.2500 0.2500
0.7500 0.7500 0.7500
0.5000 0.5000 0.5000
0.0000 0.0000 0.0000
```

---

two.
VASP calculation (PBE) on a geometry-optimized TlCr2Te structure.

Structure (POSCAR):
```
TlCr2Te
1.0
-4.1315 -0.1868 -4.3786
-2.3494 -5.1456 -2.0687
1.1481 2.8307 5.1910
Cr Te Tl
2 1 1
direct
0.0000 0.0000 0.0000
0.2500 0.7500 0.5000
0.5000 0.5000 0.0000
0.7500 0.2500 0.5000
```

---

Stability, highest: two

---

one.
VASP calculation (PBE) on a geometry-optimized Ta2TcAg structure.

Structure (POSCAR):
```
Ta2TcAg
1.0
-4.5879 2.8460 -0.4733
-5.2727 -0.2434 -1.2295
-2.8251 -0.2550 3.6002
Ag Ta Tc
1 2 1
direct
0.7573 0.7573 0.7428
0.9932 0.9932 0.0071
0.2354 0.2354 0.2647
0.5141 0.5141 0.4853
```

---

two.
VASP calculation (PBE) on a geometry-optimized Ta2TcAg structure.

Structure (POSCAR):
```
Ta2TcAg
1.0
-0.0359 1.1957 -3.0636
-2.3908 -2.1133 -0.7968
-4.3581 4.2811 1.7219
Ag Ta Tc
1 2 1
direct
0.5000 0.5000 0.7479
0.0000 0.0000 0.0064
0.5000 0.5000 0.2665
0.0000 0.0000 0.4792
```

---

Stability, highest: two

---

one.
VASP calculation (PBE) on a geometry-optimized B2C structure.

Structure (POSCAR):
```
B2C
1.0
0.2694 -4.7820 0.8424
3.9891 2.7803 -0.0802
0.8535 0.1403 4.5909
B C
8 4
direct
0.7161 0.9486 0.1312
0.9486 0.7161 0.1312
0.8424 0.8424 0.8360
0.8121 0.8121 0.4775
0.1879 0.1879 0.5225
0.1576 0.1576 0.1640
0.0514 0.2839 0.8688
0.2839 0.0514 0.8688
0.4851 0.8519 0.4448
0.8519 0.4851 0.4448
0.1481 0.5149 0.5552
0.5149 0.1481 0.5552
```

---

two.
VASP calculation (PBE) on a geometry-optimized B2C structure.

Structure (POSCAR):
```
B2C
1.0
-1.5669 2.1720 0.3786
-1.8335 -1.0257 -1.7036
-5.4356 -5.5204 9.1741
B C
8 4
direct
0.0000 0.5000 0.5678
0.0000 0.0000 0.6743
0.0000 0.5000 0.2204
0.0000 0.0000 0.3257
0.5000 0.0000 0.4322
0.0000 0.5000 0.9221
0.5000 0.0000 0.0779
0.5000 0.0000 0.7796
0.5000 0.5000 0.5000
0.0000 0.0000 0.0000
0.5000 0.5000 0.1576
0.5000 0.5000 0.8424
```

---

Stability, highest: one

---

one.
VASP calculation (PBE) on a geometry-optimized Al2Hg structure.

Structure (POSCAR):
```
Al2Hg
1.0
2.9484 -4.5483 -0.0365
2.4160 3.9540 2.8125
-4.7661 -1.0836 2.3434
Al Hg
4 2
direct
0.1467 0.3533 0.5000
0.8533 0.6467 0.5000
0.6467 0.1467 0.7935
0.3533 0.8533 0.2065
0.7500 0.7500 0.0000
0.2500 0.2500 0.0000
```

---

two.
VASP calculation (PBE) on a geometry-optimized Al2Hg structure.

Structure (POSCAR):
```
Al2Hg
1.0
-1.7765 2.4035 -1.3998
-1.1799 -1.6057 2.6308
2.6821 4.1628 3.7437
Hg Al
1 2
direct
0.0000 0.0000 0.0000
0.6667 0.3333 0.6607
0.3333 0.6667 0.3393
```

---

Stability, highest: two

---

one.
VASP calculation (PBE) on a geometry-optimized OsBrCl2 structure.

Structure (POSCAR):
```
OsBrCl2
1.0
-7.2568 0.0484 -0.2002
4.2675 -4.1526 1.6302
1.3376 0.0428 2.9108
Os Br Cl
1 1 2
direct
0.0000 0.5000 0.5000
0.5000 0.5000 0.0000
0.0000 0.0000 0.0000
0.5000 0.0000 0.5000
```

---

two.
VASP calculation (PBE) on a geometry-optimized OsBrCl2 structure.

Structure (POSCAR):
```
OsBrCl2
1.0
3.0605 0.0000 0.0000
0.0000 6.9364 0.0000
0.0000 0.0000 4.3191
Os Br Cl
1 1 2
direct
0.5000 0.0000 0.5000
0.0000 0.5000 0.5000
0.0000 0.0000 0.0000
0.5000 0.5000 0.0000
```

---

Stability, highest: one

---

one.
VASP calculation (PBE) on a geometry-optimized ReAg structure.

Structure (POSCAR):
```
ReAg
1.0
9.7545 0.0126 0.0078
9.3490 2.7834 0.0078
9.3491 1.3684 2.4246
Re Ag
2 2
direct
0.4941 0.4941 0.4942
0.7559 0.7559 0.7558
0.0021 0.0021 0.0021
0.2479 0.2479 0.2479
```

---

two.
VASP calculation (PBE) on a geometry-optimized ReAg structure.

Structure (POSCAR):
```
ReAg
1.0
-5.5318 3.3681 -4.6253
-2.0763 -3.4966 -0.0630
5.8046 -3.5796 7.3725
Re Ag
2 2
direct
0.2918 0.5000 0.0085
0.4582 0.0000 0.9915
0.9683 0.0000 0.9764
0.7817 0.5000 0.0236
```

---

Stability, highest: one

---

one.
VASP calculation (PBE) on a geometry-optimized LiHf2S2 structure.

Structure (POSCAR):
```
LiHf2S2
1.0
4.2506 0.0000 0.0000
0.0000 4.2506 0.0000
2.1253 2.1253 5.9036
S Hf Li
2 2 1
direct
0.3706 0.3706 0.2589
0.6294 0.6294 0.7411
0.7500 0.2500 0.5000
0.2500 0.7500 0.5000
0.0000 0.0000 0.0000
```

---

two.
VASP calculation (PBE) on a geometry-optimized LiHf2S2 structure.

Structure (POSCAR):
```
LiHf2S2
1.0
-4.1278 -5.1807 -2.2761
-1.9124 -1.3743 6.5965
-2.5330 2.1445 -0.2875
S Hf Li
4 4 2
direct
0.3550 0.8550 0.0000
0.8550 0.6450 0.0000
0.6450 0.1450 0.0000
0.1450 0.3550 0.0000
0.1516 0.6516 0.5000
0.6516 0.8484 0.5000
0.8484 0.3484 0.5000
0.3484 0.1516 0.5000
0.0000 0.0000 0.0000
0.5000 0.5000 0.0000
```

---

Stability, highest: two

---

one.
VASP calculation (PBE) on a geometry-optimized TlNiAu2 structure.

Structure (POSCAR):
```
TlNiAu2
1.0
4.0756 0.0000 0.0000
0.0000 4.0761 0.0000
0.0000 0.0000 4.2952
Au Ni Tl
2 1 1
direct
0.0000 0.0000 0.0000
0.5000 0.5000 0.0000
0.5000 0.0000 0.5000
0.0000 0.5000 0.5000
```

---

two.
VASP calculation (PBE) on a geometry-optimized TlNiAu2 structure.

Structure (POSCAR):
```
TlNiAu2
1.0
-4.2527 3.7928 -2.3944
-5.4567 -1.4664 -2.5055
3.9947 0.0215 4.7165
Au Ni Tl
2 1 1
direct
0.9496 0.9496 0.0000
0.5504 0.5504 0.0000
0.7500 0.2500 0.5000
0.2500 0.7500 0.5000
```

---

Stability, highest: two

---

one.
VASP calculation (PBE) on a geometry-optimized YRuSe2 structure.

Structure (POSCAR):
```
YRuSe2
1.0
3.4065 0.0000 0.0000
0.0000 4.6755 0.0000
0.0000 0.0000 4.6755
Ru Se Y
1 2 1
direct
0.5000 0.0000 0.5000
0.0000 0.0000 0.0000
0.0000 0.5000 0.5000
0.5000 0.5000 0.0000
```

---

two.
VASP calculation (PBE) on a geometry-optimized YRuSe2 structure.

Structure (POSCAR):
```
YRuSe2
1.0
-6.9166 -0.3561 0.0186
-5.8410 -2.6559 -2.6067
0.1575 -2.6109 2.3517
Ru Se Y
1 2 1
direct
0.2338 0.2338 0.1178
0.0402 0.0402 0.1228
0.7812 0.7812 0.6381
0.4448 0.4448 0.6212
```

---

Stability, highest: two

---

one.
VASP calculation (PBE) on a geometry-optimized ZrNiRu structure.

Structure (POSCAR):
```
ZrNiRu
1.0
12.5097 0.0000 0.0000
0.0000 4.0188 0.0000
0.0000 0.0000 3.6543
Zr Ni Ru
4 4 4
direct
0.1507 0.0000 0.5000
0.8493 0.0000 0.5000
0.6507 0.5000 0.5000
0.3493 0.5000 0.5000
0.5000 0.0000 0.5000
0.0000 0.5000 0.5000
0.0000 0.0000 0.0000
0.5000 0.5000 0.0000
0.3429 0.0000 0.0000
0.6571 0.0000 0.0000
0.8429 0.5000 0.0000
0.1571 0.5000 0.0000
```

---

two.
VASP calculation (PBE) on a geometry-optimized ZrNiRu structure.

Structure (POSCAR):
```
ZrNiRu
1.0
4.8309 0.0000 0.0024
0.0000 4.3403 0.0000
-1.9098 0.0000 4.4957
Zr Ni Ru
2 2 2
direct
0.5448 0.2500 0.7450
0.4552 0.7500 0.2550
0.1304 0.2500 0.9705
0.8696 0.7500 0.0295
0.8715 0.2500 0.3601
0.1285 0.7500 0.6399
```

---

Stability, highest: one

---

one.
VASP calculation (PBE) on a geometry-optimized NiTe2Ir structure.

Structure (POSCAR):
```
NiTe2Ir
1.0
0.9177 0.8498 4.5425
-3.5322 0.2716 3.1062
-0.5902 -3.4073 3.2001
Ni Ir Te
1 1 2
direct
0.0000 0.0000 0.0000
0.5000 0.5000 0.5000
0.2500 0.2500 0.2500
0.7500 0.7500 0.7500
```

---

two.
VASP calculation (PBE) on a geometry-optimized NiTe2Ir structure.

Structure (POSCAR):
```
NiTe2Ir
1.0
5.7976 0.0000 0.0000
0.0000 5.7976 0.0000
2.8988 2.8988 5.8677
Ni Ir Te
2 2 4
direct
0.5000 0.5000 0.0000
0.2500 0.7500 0.5000
0.0000 0.0000 0.0000
0.7500 0.2500 0.5000
0.6125 0.1250 0.2500
0.1375 0.6250 0.2500
0.3750 0.3875 0.7500
0.8750 0.8625 0.7500
```

---

Stability, highest: two

---

one.
VASP calculation (PBE) on a geometry-optimized Tb2TmTi structure.

Structure (POSCAR):
```
Tb2TmTi
1.0
-0.9619 1.1078 -3.0065
0.5215 -1.8770 -2.7197
-10.5572 -5.2884 -0.4322
Tm Tb Ti
1 2 1
direct
0.5000 0.5000 0.5000
0.0843 0.0843 0.7471
0.9157 0.9157 0.2529
0.0000 0.0000 0.0000
```

---

two.
VASP calculation (PBE) on a geometry-optimized Tb2TmTi structure.

Structure (POSCAR):
```
Tb2TmTi
1.0
-0.5531 1.6577 -2.9306
-3.2012 -1.1793 -0.0629
-2.8702 7.5347 4.8037
Tm Tb Ti
1 2 1
direct
0.5000 0.5000 0.5000
0.0000 0.0000 0.7775
0.0000 0.0000 0.2225
0.5000 0.5000 0.0000
```

---

Stability, highest: two